[1]
Compound: La2PrCo
Source: Alexandria via LeMat-Bulk
Functional: PBE
Structure: relaxed Values from VASP.

Quantum ESPRESSO input file:
```
&SYSTEM
  ibrav = 0, nat = 4, ntyp = 3
/
ATOMIC_SPECIES
La 138.91 La.upf
Pr 140.91 Pr.upf
Co 58.93 Co.upf
CELL_PARAMETERS angstrom
1.969 1.137 9.428
-1.969 1.137 9.428
0.000 -2.273 9.428
ATOMIC_POSITIONS crystal
La 0.000 0.000 0.000
La 0.222 0.222 0.222
Pr 0.445 0.445 0.445
Co 0.610 0.610 0.610
```

Summary:
* magnetization: 0.00 μB/cell
* SG: No. 160
* DFT formation energy: -14 meV per atom
* E: -5.449 eV per atom
* Fermi-level density of states: 5.40 states/eV per cell
* ΔE to the lowest computed polymorph: 72 meV per atom

---

[2]
Compound: LaPr8Co2
Source: Alexandria via LeMat-Bulk
Functional: PBE
Structure: relaxed Values from VASP.

Quantum ESPRESSO input file:
```
&SYSTEM
  ibrav = 0, nat = 11, ntyp = 3
/
ATOMIC_SPECIES
La 138.91 La.upf
Pr 140.91 Pr.upf
Co 58.93 Co.upf
CELL_PARAMETERS angstrom
6.482 -4.207 0.000
6.482 4.207 0.000
-2.461 0.000 6.694
ATOMIC_POSITIONS crystal
La 0.000 0.000 0.000
Pr 0.128 0.128 0.694
Pr 0.182 0.578 0.696
Pr 0.340 0.340 0.191
Pr 0.422 0.818 0.304
Pr 0.578 0.182 0.696
Pr 0.660 0.660 0.809
Pr 0.818 0.422 0.304
Pr 0.872 0.872 0.306
Co 0.202 0.202 0.397
Co 0.798 0.798 0.603
```

Summary:
* magnetization: 0.00 μB/cell
* SG: No. 12
* DFT formation energy: 106 meV per atom
* E: -5.110 eV per atom
* Fermi-level density of states: 12.67 states/eV per cell

---

[3]
Compound: La2Pr2Co3
Source: Alexandria via LeMat-Bulk
Functional: PBE
Structure: relaxed Values from VASP.

Quantum ESPRESSO input file:
```
&SYSTEM
  ibrav = 0, nat = 7, ntyp = 3
/
ATOMIC_SPECIES
La 138.91 La.upf
Pr 140.91 Pr.upf
Co 58.93 Co.upf
CELL_PARAMETERS angstrom
3.794 0.000 0.000
0.029 6.806 0.000
1.597 0.390 7.038
ATOMIC_POSITIONS crystal
La 0.140 0.165 0.219
La 0.860 0.835 0.781
Pr 0.361 0.326 0.697
Pr 0.639 0.674 0.303
Co 0.246 0.594 0.014
Co 0.500 0.000 0.500
Co 0.754 0.406 0.986
```

Summary:
* magnetization: 0.47 μB/cell
* SG: No. 2
* DFT formation energy: 16 meV per atom
* E: -5.803 eV per atom
* Fermi-level density of states: 6.68 states/eV per cell

---

[4]
Compound: La8PrCo2
Source: Alexandria via LeMat-Bulk
Functional: PBE
Structure: relaxed Values from VASP.

Quantum ESPRESSO input file:
```
&SYSTEM
  ibrav = 0, nat = 11, ntyp = 3
/
ATOMIC_SPECIES
La 138.91 La.upf
Pr 140.91 Pr.upf
Co 58.93 Co.upf
CELL_PARAMETERS angstrom
6.581 -4.225 0.000
6.581 4.225 0.000
-2.240 0.000 6.693
ATOMIC_POSITIONS crystal
La 0.083 0.678 0.700
La 0.163 0.163 0.808
La 0.322 0.917 0.300
La 0.367 0.367 0.308
La 0.633 0.633 0.692
La 0.678 0.083 0.700
La 0.837 0.837 0.192
La 0.917 0.322 0.300
Pr 0.500 0.500 0.000
Co 0.284 0.284 0.592
Co 0.716 0.716 0.408
```

Summary:
* magnetization: 0.00 μB/cell
* SG: No. 12
* DFT formation energy: 29 meV per atom
* E: -5.281 eV per atom
* Fermi-level density of states: 13.43 states/eV per cell
* ΔE to the lowest computed polymorph: 51 meV per atom

---

[5]
Compound: La3Pr5Co2
Source: Alexandria via LeMat-Bulk
Functional: PBE
Structure: relaxed Values from VASP.

Quantum ESPRESSO input file:
```
&SYSTEM
  ibrav = 0, nat = 20, ntyp = 3
/
ATOMIC_SPECIES
La 138.91 La.upf
Pr 140.91 Pr.upf
Co 58.93 Co.upf
CELL_PARAMETERS angstrom
-5.279 7.691 4.014
5.279 -7.691 4.014
5.279 7.691 -4.014
ATOMIC_POSITIONS crystal
La 0.135 0.740 0.875
La 0.250 0.250 0.000
La 0.365 0.240 0.606
La 0.635 0.760 0.394
La 0.750 0.750 0.000
La 0.865 0.260 0.125
Pr 0.001 0.750 0.251
Pr 0.114 0.256 0.370
Pr 0.250 0.750 0.500
Pr 0.386 0.756 0.141
Pr 0.499 0.750 0.749
Pr 0.501 0.250 0.251
Pr 0.614 0.244 0.859
Pr 0.750 0.250 0.500
Pr 0.886 0.744 0.630
Pr 0.999 0.250 0.749
Co 0.127 0.989 0.116
Co 0.373 0.489 0.862
Co 0.627 0.511 0.138
Co 0.873 0.011 0.884
```

Summary:
* magnetization: 0.00 μB/cell
* SG: No. 72
* DFT formation energy: 6 meV per atom
* E: -5.283 eV per atom
* Fermi-level density of states: 26.28 states/eV per cell

---

[6]
Compound: La2PrCo6
Source: Alexandria via LeMat-Bulk
Functional: PBE
Structure: relaxed Values from VASP.

Quantum ESPRESSO input file:
```
&SYSTEM
  ibrav = 0, nat = 9, ntyp = 3
/
ATOMIC_SPECIES
La 138.91 La.upf
Pr 140.91 Pr.upf
Co 58.93 Co.upf
CELL_PARAMETERS angstrom
6.809 0.000 0.000
-3.405 5.897 0.000
0.000 0.000 4.278
ATOMIC_POSITIONS crystal
La 0.333 0.667 0.000
La 0.667 0.333 0.000
Pr 0.000 0.000 0.000
Co 0.000 0.333 0.500
Co 0.000 0.667 0.500
Co 0.333 0.000 0.500
Co 0.333 0.333 0.500
Co 0.667 0.000 0.500
Co 0.667 0.667 0.500
```

Summary:
* magnetization: 4.31 μB/cell
* SG: No. 191
* DFT formation energy: -59 meV per atom
* E: -6.423 eV per atom
* Fermi-level density of states: 8.65 states/eV per cell

---

[7]
Compound: LaPr3Co
Source: Alexandria via LeMat-Bulk
Functional: PBE
Structure: relaxed Values from VASP.

Quantum ESPRESSO input file:
```
&SYSTEM
  ibrav = 0, nat = 5, ntyp = 3
/
ATOMIC_SPECIES
La 138.91 La.upf
Pr 140.91 Pr.upf
Co 58.93 Co.upf
CELL_PARAMETERS angstrom
5.528 0.000 0.000
0.000 5.528 0.000
0.000 0.000 5.528
ATOMIC_POSITIONS crystal
La 0.000 0.000 0.000
Pr 0.000 0.500 0.500
Pr 0.500 0.000 0.500
Pr 0.500 0.500 0.000
Co 0.500 0.500 0.500
```

Summary:
* magnetization: 1.72 μB/cell
* SG: No. 221
* DFT formation energy: 90 meV per atom
* E: -5.184 eV per atom
* Fermi-level density of states: 8.30 states/eV per cell
* ΔE to the lowest computed polymorph: 150 meV per atom

---

[8]
Compound: La3PrCo2
Source: Alexandria via LeMat-Bulk
Functional: PBE
Structure: relaxed Values from VASP.

Quantum ESPRESSO input file:
```
&SYSTEM
  ibrav = 0, nat = 12, ntyp = 3
/
ATOMIC_SPECIES
La 138.91 La.upf
Pr 140.91 Pr.upf
Co 58.93 Co.upf
CELL_PARAMETERS angstrom
4.107 0.000 0.000
-2.048 8.490 0.000
-2.022 -1.359 10.222
ATOMIC_POSITIONS crystal
La 0.130 0.321 0.442
La 0.131 0.818 0.945
La 0.368 0.929 0.307
La 0.632 0.071 0.693
La 0.869 0.182 0.055
La 0.870 0.679 0.558
Pr 0.371 0.433 0.808
Pr 0.629 0.567 0.192
Co 0.248 0.122 0.874
Co 0.253 0.628 0.379
Co 0.747 0.372 0.621
Co 0.752 0.878 0.126
```

Summary:
* magnetization: 0.00 μB/cell
* SG: No. 2
* DFT formation energy: -86 meV per atom
* E: -5.715 eV per atom
* Fermi-level density of states: 12.56 states/eV per cell